Below is a crystal of K2SrSi relaxed with PBEsol, with properties calculated at the meta-GGA SCAN level.

Lattice parameters (Å, degrees): 13.0166 13.0166 13.0166 17.77 17.77 17.77
Fractional coordinates of all 4 atoms:
K (0.2292, 0.2292, 0.2292)
K (0.7708, 0.7708, 0.7708)
Sr (0.0000, 0.0000, 0.0000)
Si (0.5000, 0.5000, 0.5000)

Raw total energy: -11.7130 eV per atom
Crystal system: trigonal



Below is a crystal of KSr2Si relaxed with PBEsol, with properties calculated at the meta-GGA SCAN level.

Lattice parameters (Å, degrees): 3.8478 3.8478 11.0954 90.00 90.00 90.00
Fractional coordinates of all 4 atoms:
K (0.0000, 0.0000, 0.0000)
Sr (0.5000, 0.5000, 0.3425)
Sr (0.5000, 0.5000, 0.6575)
Si (0.0000, 0.0000, 0.5000)

Raw total energy: -15.8256 eV per atom
Crystal system: tetragonal



Below is a crystal of KSr2Si relaxed with PBEsol, with properties calculated at the meta-GGA SCAN level.

Lattice parameters (Å, degrees): 6.3098 6.3098 6.3098 132.85 132.85 68.89
Fractional coordinates of all 4 atoms:
K (0.0000, 0.0000, 0.0000)
Sr (0.2500, 0.7500, 0.5000)
Sr (0.5000, 0.5000, 0.0000)
Si (0.7500, 0.2500, 0.5000)

Raw total energy: -15.5712 eV per atom
Crystal system: tetragonal



Below is a crystal of K2SrSi relaxed with PBEsol, with properties calculated at the meta-GGA SCAN level.

Lattice parameters (Å, degrees): 3.9895 3.9895 11.1086 90.00 90.00 90.00
Fractional coordinates of all 4 atoms:
K (0.0000, 0.0000, 0.0000)
K (0.5000, 0.5000, 0.3594)
Sr (0.5000, 0.5000, 0.6789)
Si (0.0000, 0.0000, 0.5499)

Raw total energy: -12.1622 eV per atom
Crystal system: tetragonal



Below is a crystal of KSr2Si relaxed with PBEsol, with properties calculated at the meta-GGA SCAN level.

Lattice parameters (Å, degrees): 10.1276 10.1276 10.1276 27.76 27.76 27.76
Fractional coordinates of all 4 atoms:
K (0.0000, 0.0000, 0.0000)
Sr (0.2123, 0.2123, 0.2123)
Sr (0.7877, 0.7877, 0.7877)
Si (0.5000, 0.5000, 0.5000)

Raw total energy: -15.8354 eV per atom
Crystal system: trigonal



Below is a crystal of K2SrSi relaxed with PBEsol, with properties calculated at the meta-GGA SCAN level.

Lattice parameters (Å, degrees): 4.6491 4.6491 7.2077 90.00 90.00 90.00
Fractional coordinates of all 4 atoms:
K (0.0000, 0.0000, 0.2038)
K (0.0000, 0.0000, 0.7962)
Sr (0.5000, 0.5000, 0.5000)
Si (0.5000, 0.5000, 0.0000)

Raw total energy: -11.8353 eV per atom
Crystal system: tetragonal



Below is a crystal of KTaSi2 relaxed with PBEsol, with properties calculated at the meta-GGA SCAN level.

Lattice parameters (Å, degrees): 2.8089 4.3528 8.0703 90.00 90.00 90.00
Fractional coordinates of all 4 atoms:
K (0.0000, 0.0000, 0.0000)
Ta (0.5000, 0.5000, 0.5787)
Si (0.0000, 0.0000, 0.5994)
Si (0.5000, 0.5000, 0.2766)

Raw total energy: -23.2942 eV per atom
Energy above the lowest structure with this stoichiometry: 0 meV per atom
Crystal system: orthorhombic



Below is a crystal of KTaSi2 relaxed with PBEsol, with properties calculated at the meta-GGA SCAN level.

Lattice parameters (Å, degrees): 5.1466 5.1466 2.7278 90.00 90.00 97.19
Fractional coordinates of all 4 atoms:
K (0.0000, 0.0000, 0.0000)
Ta (0.5000, 0.5000, 0.0000)
Si (0.0000, 0.5000, 0.5000)
Si (0.5000, 0.0000, 0.5000)

Raw total energy: -23.0310 eV per atom
Energy above the lowest structure with this stoichiometry: 263 meV per atom
Crystal system: orthorhombic



Below is a crystal of KSi2Tc relaxed with PBEsol, with properties calculated at the meta-GGA SCAN level.

Lattice parameters (Å, degrees): 2.7132 4.7108 5.4800 90.00 90.00 90.00
Fractional coordinates of all 4 atoms:
K (0.0000, 0.0000, 0.0000)
Si (0.0000, 0.5000, 0.5000)
Si (0.5000, 0.5000, 0.0000)
Tc (0.5000, 0.0000, 0.5000)

Raw total energy: -14.6366 eV per atom
Crystal system: orthorhombic



Below is a crystal of K4SiTc relaxed with PBEsol, with properties calculated at the meta-GGA SCAN level.

Lattice parameters (Å, degrees): 6.4477 6.4477 6.4477 60.00 60.00 60.00
Fractional coordinates of all 6 atoms:
K (0.3761, 0.3761, 0.3761)
K (0.3761, 0.3761, 0.8716)
K (0.3761, 0.8716, 0.3761)
K (0.8716, 0.3761, 0.3761)
Si (0.7500, 0.7500, 0.7500)
Tc (0.0000, 0.0000, 0.0000)

Raw total energy: -11.7903 eV per atom
Crystal system: cubic



Below is a crystal of KSi4Tc relaxed with PBEsol, with properties calculated at the meta-GGA SCAN level.

Lattice parameters (Å, degrees): 5.1371 5.1371 5.1371 60.00 60.00 60.00
Fractional coordinates of all 6 atoms:
K (0.0000, 0.0000, 0.0000)
Si (0.3770, 0.3770, 0.3770)
Si (0.3770, 0.3770, 0.8690)
Si (0.3770, 0.8690, 0.3770)
Si (0.8690, 0.3770, 0.3770)
Tc (0.7500, 0.7500, 0.7500)

Raw total energy: -13.0812 eV per atom
Crystal system: cubic



Below is a crystal of KSi2Te relaxed with PBEsol, with properties calculated at the meta-GGA SCAN level.

Lattice parameters (Å, degrees): 5.4176 3.8136 5.7890 90.00 108.85 90.00
Fractional coordinates of all 4 atoms:
K (0.0000, 0.0000, 0.0000)
Si (0.6088, 0.0000, 0.3538)
Si (0.8753, 0.5000, 0.4748)
Te (0.3681, 0.5000, 0.6340)

Raw total energy: -16.2794 eV per atom
Crystal system: monoclinic



In order of appearance, formation energy without anion corrections = 0.524, -0.102, 0.153, 0.075, -0.112, 0.402, 0.442, 0.705, 1.218, 1.275, 0.827, 0.123 eV/atom.
In order of appearance, total magnetic moment = 0.46, 0.05, 0.95, 0.02, 0.03, 0.79, 0.00, 0.00, 0.00, 3.94, 2.56, 0.00 Bohr magnetons per cell.